1.
Density functional theory data (GGA-PBE) for crystalline NbSi2Ru3 at its relaxed geometry.

POSCAR file:
```
NbSi2Ru3
1.0
2.945 0.000 0.000
0.000 2.945 0.000
0.000 0.000 9.522
Nb Si Ru
1 2 3
Cartesian
0.000 0.000 0.000
0.000 0.000 3.254
0.000 0.000 6.267
1.473 1.473 1.874
1.473 1.473 4.761
1.473 1.473 7.648
```

Results
The formation energy from raw total energies is -0.537 eV per atom. The density of states at the Fermi level is 4.16 states/eV/f.u. The space-group type is No. 123.



2.
Density functional theory data (GGA-PBE) for crystalline Np4US10 at its relaxed geometry.

POSCAR file:
```
Np4US10
1.0
-5.080 5.080 3.213
5.080 -5.080 3.213
5.080 5.080 -3.213
Np U S
4 1 10
Cartesian
3.053 1.010 0.000
4.070 -2.026 3.213
1.010 7.106 0.000
2.026 4.070 3.213
0.000 0.000 3.213
4.065 3.065 -1.595
2.014 -1.015 1.618
5.080 0.000 1.607
3.065 6.095 -1.595
1.015 2.014 1.618
4.065 3.065 1.595
2.014 -1.015 4.809
0.000 5.080 1.607
3.065 6.095 1.595
1.015 2.014 4.809
```

Results
The formation energy from raw total energies is -1.328 eV per atom. The density of states at the Fermi level is 48.39 states/eV/f.u. The space-group type is No. 87.



3.
Density functional theory data (GGA-PBE) for crystalline LiTi2Zn2P2O10 at its relaxed geometry.

POSCAR file:
```
LiTi2Zn2P2O10
1.0
5.652 0.000 0.000
-0.547 5.654 0.000
-2.288 -2.458 6.406
Li Ti Zn P O
1 2 2 2 10
Cartesian
0.000 0.000 0.000
2.951 2.016 4.001
4.058 3.125 1.063
-0.926 0.532 5.943
1.439 4.437 2.918
0.032 0.554 2.632
0.549 -2.171 5.688
-0.218 1.498 1.437
-1.008 0.723 3.759
-0.461 4.744 2.058
-1.367 3.405 4.986
1.481 0.690 3.231
2.803 1.690 0.017
2.458 4.733 0.260
1.259 3.468 4.761
2.741 3.198 2.477
2.903 1.177 5.883
```

Results
The formation energy from raw total energies is -2.094 eV per atom. Its distance to the lowest polymorph of the same formula is 10 meV per atom. The density of states at the Fermi level is 2.54 states/eV/f.u. The space-group type is No. 1.



4.
Density functional theory data (GGA-PBE) for crystalline Si2RuPb at its relaxed geometry.

POSCAR file:
```
Si2RuPb
1.0
3.835 0.000 0.000
0.000 3.835 0.000
0.000 0.000 4.870
Si Ru Pb
2 1 1
Cartesian
0.000 1.917 0.000
1.917 0.000 0.000
0.000 0.000 2.435
1.917 1.917 2.435
```

Results
The formation energy from raw total energies is 0.672 eV per atom. The density of states at the Fermi level is 3.24 states/eV/f.u. The space-group type is No. 123.



5.
Density functional theory data (GGA-PBE) for crystalline Tc2Pd2N at its relaxed geometry.

POSCAR file:
```
Tc2Pd2N
1.0
5.398 0.000 0.000
0.000 5.398 0.000
0.000 0.000 4.800
Tc Pd N
4 4 2
Cartesian
0.908 1.791 0.000
1.791 4.490 0.000
3.607 0.908 0.000
4.490 3.607 0.000
0.954 3.653 2.400
1.745 0.954 2.400
3.653 4.444 2.400
4.444 1.745 2.400
0.000 0.000 0.000
2.699 2.699 0.000
```

Results
The formation energy from raw total energies is 0.210 eV per atom. The density of states at the Fermi level is 6.40 states/eV/f.u. The space-group type is No. 127.



6.
Density functional theory data (GGA-PBE) for crystalline La3BiN at its relaxed geometry.

POSCAR file:
```
La3BiN
1.0
4.401 0.000 0.000
-2.201 3.812 0.000
0.000 0.000 18.412
La Bi N
6 2 2
Cartesian
0.000 0.000 4.603
0.000 0.000 13.809
0.000 2.541 2.039
0.000 2.541 7.167
2.201 1.271 11.244
2.201 1.271 16.373
0.000 0.000 0.000
0.000 0.000 9.206
0.000 2.541 4.603
2.201 1.271 13.809
```

Results
The formation energy from raw total energies is -0.783 eV per atom. The density of states at the Fermi level is 6.17 states/eV/f.u. The space-group type is No. 194.



7.
Density functional theory data (GGA-PBE) for crystalline TbInCu at its relaxed geometry.

POSCAR file:
```
TbInCu
1.0
2.318 1.338 7.407
-2.318 1.338 7.407
0.000 -2.677 7.407
Tb In Cu
2 2 2
Cartesian
0.000 0.000 5.382
0.000 0.000 16.841
0.000 0.000 0.000
0.000 0.000 11.111
0.000 0.000 8.257
0.000 0.000 13.965
```

Results
The formation energy is -266 meV per atom. The density of states at the Fermi level is 2.49 states/eV/f.u. The space-group type is No. 166.



8.
Density functional theory data (GGA-PBE) for crystalline TlReSi at its relaxed geometry.

POSCAR file:
```
TlReSi
1.0
4.164 0.000 0.000
-2.082 3.606 0.000
0.000 0.000 3.694
Tl Re Si
1 1 1
Cartesian
0.000 0.000 0.000
2.082 1.202 1.847
0.000 2.404 1.847
```

Results
The formation energy from raw total energies is 0.561 eV per atom. Its distance to the lowest polymorph of the same formula is 145 meV per atom. The density of states at the Fermi level is 1.61 states/eV/f.u. The space-group type is No. 187.



9.
Density functional theory data (GGA-PBE) for crystalline Ba3Tc5O12 at its relaxed geometry.

POSCAR file:
```
Ba3Tc5O12
1.0
-6.717 6.717 6.717
6.717 -6.717 6.717
6.717 6.717 -6.717
Ba Tc O
12 20 48
Cartesian
3.358 1.679 0.000
6.717 3.358 -1.679
1.679 0.000 3.358
8.396 0.000 3.358
0.000 3.358 1.679
3.358 -1.679 6.717
3.358 8.396 0.000
6.717 3.358 5.038
-1.679 6.717 3.358
5.038 6.717 3.358
0.000 3.358 8.396
3.358 5.038 6.717
0.000 0.000 0.000
3.358 3.358 -3.358
3.358 -3.358 3.358
6.717 0.000 0.000
10.075 1.679 0.000
6.717 -3.358 5.038
5.038 6.717 -3.358
5.038 0.000 3.358
3.358 5.038 0.000
6.717 3.358 1.679
-3.358 3.358 3.358
0.000 6.717 0.000
0.000 0.000 6.717
3.358 3.358 3.358
0.000 3.358 5.038
3.358 1.679 6.717
1.679 6.717 3.358
1.679 0.000 10.075
0.000 10.075 1.679
-3.358 5.038 6.717
1.921 -0.510 0.536
8.155 3.894 -3.869
8.638 0.510 0.536
8.155 -2.823 3.869
6.207 -0.536 1.921
10.586 -1.438 2.823
0.536 1.921 -0.510
9.540 2.848 -1.438
3.894 3.869 -1.438
6.181 1.921 0.510
-0.510 0.536 1.921
3.869 -1.438 3.894
6.207 6.181 -1.921
3.869 1.438 2.823
3.894 -3.869 8.155
6.181 -1.921 6.207
2.823 3.869 1.438
7.253 4.796 0.510
3.869 8.155 -2.823
6.207 0.536 4.796
1.921 6.207 -0.536
8.155 2.823 2.848
1.438 2.823 3.869
1.921 0.510 6.181
4.796 6.207 0.536
5.279 3.894 2.848
-1.438 3.894 3.869
4.796 0.510 7.253
0.510 6.181 1.921
2.848 -1.438 9.540
-0.536 1.921 6.207
3.894 2.848 5.279
0.536 8.638 0.510
2.823 10.586 -1.438
2.848 5.279 3.894
0.510 0.536 8.638
2.848 8.155 2.823
7.227 6.181 4.796
0.536 4.796 6.207
2.823 2.848 8.155
-2.823 3.869 8.155
6.181 4.796 7.227
-3.869 8.155 3.894
0.510 7.253 4.796
-1.438 9.540 2.848
-1.921 6.207 6.181
-1.438 2.823 10.586
4.796 7.227 6.181
```

Results
The formation energy from raw total energies is -1.593 eV per atom. The density of states at the Fermi level is 10.20 states/eV/f.u. The space-group type is No. 230.



10.
Density functional theory data (GGA-PBE) for crystalline Rb3PbS at its relaxed geometry.

POSCAR file:
```
Rb3PbS
1.0
6.432 0.000 0.000
0.000 6.432 0.000
0.000 0.000 6.432
Rb Pb S
3 1 1
Cartesian
0.000 0.000 3.216
0.000 3.216 0.000
3.216 0.000 0.000
3.216 3.216 3.216
0.000 0.000 0.000
```

Results
The formation energy from raw total energies is -0.365 eV per atom. Its distance to the lowest polymorph of the same formula is 0 meV per atom. The density of states at the Fermi level is 0.19 states/eV/f.u. The space-group type is No. 221.



11.
Density functional theory data (GGA-PBE) for crystalline PmY6Ho2Tm at its relaxed geometry.

POSCAR file:
```
PmY6Ho2Tm
1.0
4.553 -7.473 0.000
4.553 7.473 0.000
-1.516 0.000 9.554
Pm Y Ho Tm
2 12 4 2
Cartesian
3.416 6.071 7.165
4.174 -6.071 2.388
3.051 5.910 3.636
2.437 3.344 1.747
5.297 5.910 1.141
3.128 2.744 5.311
3.704 2.744 9.020
5.911 3.344 3.030
1.680 -3.344 6.524
3.886 -2.744 0.534
4.462 -2.744 4.243
2.293 -5.910 8.413
5.153 -3.344 7.807
4.539 -5.910 5.918
0.902 0.749 9.121
1.660 -0.749 4.344
5.930 0.749 5.210
6.688 -0.749 0.433
4.174 0.347 2.388
3.416 -0.347 7.165
```

Results
The formation energy is 122 meV per atom. The density of states at the Fermi level is 15.56 states/eV/f.u. The space-group type is No. 15.



12.
Density functional theory data (GGA-PBE) for crystalline LiTm2Pu3S6 at its relaxed geometry.

POSCAR file:
```
LiTm2Pu3S6
1.0
3.372 -5.843 0.000
3.372 5.843 0.000
-2.249 0.000 6.384
Li Tm Pu S
1 2 3 6
Cartesian
0.000 0.000 0.000
3.372 1.947 0.000
3.372 -1.947 0.000
2.247 3.897 3.192
2.247 0.000 3.192
2.247 -3.897 3.192
1.117 1.936 1.522
-0.015 0.000 4.863
1.117 -1.936 1.522
3.378 1.936 4.862
4.510 0.000 1.521
3.378 -1.936 4.862
```

Results
The formation energy from raw total energies is -1.802 eV per atom. The density of states at the Fermi level is 21.93 states/eV/f.u. The space-group type is No. 12.